Entry 1:
Entry from OQMD via LeMat-Bulk: an optimized crystal structure of MgCu2 (PBE).

a b c (Å): 4.9499 4.9499 4.9499
angles (deg): 60.00 60.00 60.00
With the nearest neighbours (Å) after each atom.
Atoms (fractional coordinates):
Mg 0.1250 0.1250 0.1250  12 Cu 2.90, 4 Mg 3.03
Mg 0.8750 0.8750 0.8750  12 Cu 2.90, 4 Mg 3.03
Cu 0.0000 0.5000 0.5000  6 Cu 2.47
Cu 0.5000 0.0000 0.5000  6 Cu 2.47
Cu 0.5000 0.5000 0.0000  6 Cu 2.47
Cu 0.5000 0.5000 0.5000  6 Cu 2.47

Calculated values
E = -18.83 eV per cell


Entry 2:
Entry from OQMD via LeMat-Bulk: an optimized crystal structure of TbHoGa2Pd4 (PBE).

a b c (Å): 4.6886 4.6886 6.6360
angles (deg): 90.00 90.00 90.00
With the nearest neighbours (Å) after each atom.
Atoms (fractional coordinates):
Tb 0.0000 0.0000 0.0000  8 Pd 2.88
Ho 0.5000 0.5000 0.5000  8 Pd 2.87
Ga 0.0000 0.0000 0.5000  8 Pd 2.87
Ga 0.5000 0.5000 0.0000  8 Pd 2.88
Pd 0.0000 0.5000 0.2514  2 Ho 2.87, 4 Ga 2.87-2.88, 2 Tb 2.88
Pd 0.0000 0.5000 0.7486  2 Ho 2.87, 4 Ga 2.87-2.88, 2 Tb 2.88
Pd 0.5000 0.0000 0.2514  2 Ho 2.87, 4 Ga 2.87-2.88, 2 Tb 2.88
Pd 0.5000 0.0000 0.7486  2 Ho 2.87, 4 Ga 2.87-2.88, 2 Tb 2.88

Calculated values
E = -42.46 eV per cell
ΔE to the lowest computed polymorph = 8.15 kJ/mol of atoms
total magnetic moment = 0.0 μB per formula unit


Entry 3:
Entry from OQMD via LeMat-Bulk: an optimized crystal structure of DyLuW (PBE).

a b c (Å): 4.8526 4.8526 4.8526
angles (deg): 60.00 60.00 60.00
With the nearest neighbours (Å) after each atom.
Atoms (fractional coordinates):
Dy 0.0000 0.0000 0.0000  4 Lu 2.97
Lu 0.2500 0.2500 0.2500  4 W 2.97, 4 Dy 2.97
W 0.5000 0.5000 0.5000  4 Lu 2.97

Calculated values
DFT formation energy = 1.38 eV/atom
E = -17.95 eV per cell
total magnetic moment = 1.8 μB per formula unit


Entry 4:
Entry from OQMD via LeMat-Bulk: an optimized crystal structure of PmAlTc (PBE).

a b c (Å): 4.7122 4.7122 4.7122
angles (deg): 60.00 60.00 60.00
With the nearest neighbours (Å) after each atom.
Atoms (fractional coordinates):
Pm 0.0000 0.0000 0.0000  4 Tc 2.89, 4 Al 2.89
Al 0.7500 0.7500 0.7500  4 Pm 2.89
Tc 0.2500 0.2500 0.2500  4 Pm 2.89

Calculated values
E = -15.55 eV per cell
ΔE to the lowest computed polymorph = 72.11 kJ/mol of atoms
total magnetic moment = 1.0 μB per formula unit